A plane-wave DFT calculation with GGA+U was carried out for a relaxed PmTc2NiO8 crystal.

Lattice parameters (Å, degrees): 5.2095 5.2095 11.4195 90.00 90.00 90.00
Space group I-4 (No. 82)
Symmetry-distinct sites (fractional):
Pm1 0.0000 0.0000 0.0000 (multiplicity 2)
Tc1 0.0000 0.0000 0.5000 (multiplicity 2)
Tc2 0.0000 0.5000 0.7500 (multiplicity 2)
Ni1 0.0000 0.5000 0.2500 (multiplicity 2)
O1 0.1593 0.2499 0.4184 (multiplicity 8)
O2 0.1632 0.7492 0.8309 (multiplicity 8)

Summary:
M_tot: 3.0 μB per formula unit
E_tot: -0.266 hartree per atom